i.
First-principles (GGA-PBE) data for NaPmY after structural relaxation, as listed in Alexandria via LeMat-Bulk.

Values from the calculation:
DOS(E_F) (states/eV per atom): 1.225

Cell lengths 8.568, 8.568, 8.568 Å; angles 156.14, 156.14, 34.00 degrees
Atoms (fractional coordinates):
Na 0.000 0.000 0.000
Pm 0.323 0.323 0.000
Y 0.673 0.673 0.000

***

ii.
First-principles (GGA-PBE) data for NaPmY after structural relaxation, as listed in Alexandria via LeMat-Bulk.

Values from the calculation:
DOS(E_F) (states/eV per atom): 1.003

Cell lengths 3.552, 3.552, 16.505 Å; angles 90.06, 90.06, 89.91 degrees
Atoms (fractional coordinates):
Na 0.249 0.249 0.091
Na 0.751 0.751 0.909
Pm 0.252 0.252 0.734
Pm 0.748 0.748 0.266
Y 0.249 0.249 0.421
Y 0.751 0.751 0.579

***

Verdict on stability: ii comes out on top.